A plane-wave DFT calculation with PBE was carried out for a relaxed K5TePdO2 crystal.

abc: 5.447 5.447 9.279
angles: 90.00 90.00 90.00
Fractional positions:
K1 0.500 0.000 0.233
O1 0.000 0.000 0.788
K2 0.500 0.000 0.767
O2 0.000 0.000 0.212
K3 0.000 0.500 0.767
Pd1 0.000 0.000 0.000
K4 0.000 0.000 0.500
K5 0.000 0.500 0.233
Te1 0.500 0.500 0.500

Output
**Spin magnetization**: 1.0 μB/f.u.
**Crystal system**: tetragonal
**Density of states at the Fermi level**: 0.665 states/eV per atom
**E**: -3.6381 eV/atom
**Space group**: P4/mmm (123)
**Energy relative to the elements, uncorrected**: -1.001 eV per atom

=====

A plane-wave DFT calculation with PBE was carried out for a relaxed K2ThPdO4 crystal.

abc: 4.423 8.590 8.021
angles: 90.00 90.00 90.00
Fractional positions:
O1 0.437 0.187 0.000
O2 0.937 0.214 0.745
K1 0.937 0.643 0.236
K2 0.937 0.643 0.764
Pd1 0.438 0.784 0.500
Th1 0.938 0.083 0.500
O3 0.938 0.851 0.000
O4 0.937 0.214 0.255
O5 0.937 0.813 0.500
Pd2 0.938 0.216 0.000
K3 0.437 0.357 0.264
O6 0.437 0.786 0.755
Th2 0.438 0.917 0.000
O7 0.438 0.149 0.500
K4 0.437 0.357 0.736
O8 0.437 0.786 0.245

Output
**Spin magnetization**: 0.0 μB/f.u.
**Crystal system**: orthorhombic
**Density of states at the Fermi level**: 0.556 states/eV per atom
**E**: -6.1768 eV/atom
**Space group**: Pmmn (59)
**Energy relative to the elements, uncorrected**: -1.847 eV per atom